Entry 1:
Material: Tl2HgCl2F2
Method: DFT, PBE
State: relaxed

The structure in POSCAR format:
```
Tl2HgCl2F2
1.0
-2.6879 -0.4842 -3.9644
-1.2922 -4.4161 1.4156
-4.1085 5.4429 5.0438
Cl Tl Hg F
2 2 1 2
Direct
0.8364 0.8364 0.6729
0.1636 0.1636 0.3271
0.3768 0.3768 0.7535
0.6232 0.6232 0.2465
0.0000 0.0000 0.0000
0.0000 0.5000 0.0000
0.5000 0.0000 0.0000
```

symmetry	I4/mmm
calculated volume	180	Å³ per cell
final energy	-21.204	eV for the cell shown
magnetic moment	0.00	μB/f.u.
raw formation energy	-1.25	eV per atom

***

Entry 2:
Material: PrErTmCd
Method: DFT, PBE
State: relaxed

The structure in POSCAR format:
```
PrErTmCd
1.0
-2.8857 3.0180 -3.5549
-3.7278 -2.3913 -3.2338
-5.3439 0.8829 0.8577
Pr Tm Er Cd
1 1 1 1
Direct
0.0000 0.0000 0.0000
0.2500 0.2500 0.2500
0.5000 0.5000 0.5000
0.7500 0.7500 0.7500
```

symmetry	F-43m
ΔH_f (0 K)	-0.031	eV per atom
calculated volume	117	Å³ per cell
final energy	-14.854	eV for the cell shown
magnetic moment	0.00	μB/f.u.
ΔE to the lowest computed polymorph	116.7	meV per atom